Entry 1:
First-principles (GGA-PBE) data for crystalline SrZn2Ru at its relaxed geometry, as listed in Alexandria via LeMat-Bulk.

```
SrZn2Ru
1.0
6.761 0.000 0.000
0.000 6.761 0.000
0.000 0.000 6.761
Sr Zn Ru
4 8 4
direct
0.000 0.000 0.000
0.000 0.500 0.500
0.500 0.000 0.500
0.500 0.500 0.000
0.250 0.250 0.250
0.250 0.250 0.750
0.250 0.750 0.250
0.250 0.750 0.750
0.750 0.250 0.250
0.750 0.250 0.750
0.750 0.750 0.250
0.750 0.750 0.750
0.000 0.000 0.500
0.000 0.500 0.000
0.500 0.000 0.000
0.500 0.500 0.500
```

## Properties
* symmetry: Fm-3m, No. 225
* density: 6.87 g cm⁻³
* formation energy from the elements: 0.2199 eV per atom

---

Entry 2:
First-principles (GGA-PBE) data for crystalline HgMoI3 at its relaxed geometry, as listed in Alexandria via LeMat-Bulk.

```
HgMoI3
1.0
5.909 0.000 0.000
0.000 5.909 0.000
0.000 0.000 5.909
Hg Mo I
1 1 3
direct
0.000 0.000 0.000
0.500 0.500 0.500
0.000 0.000 0.500
0.000 0.500 0.000
0.500 0.000 0.000
```

## Properties
* formation energy without anion corrections: 84 kJ per mole of atoms
* symmetry: Pm-3m, No. 221
* energy relative to the lowest polymorph listed for this composition: 333.9 kJ/mol of formula units
* density: 5.45 g cm⁻³

---

Entry 3:
First-principles (GGA-PBE) data for crystalline CuNi2W at its relaxed geometry, as listed in Alexandria via LeMat-Bulk.

```
CuNi2W
1.0
3.645 0.000 0.000
0.000 3.645 0.000
0.000 0.000 7.427
Cu Ni W
2 4 2
direct
0.000 0.000 0.000
0.500 0.500 0.500
0.000 0.000 0.500
0.000 0.500 0.750
0.500 0.000 0.250
0.500 0.500 0.000
0.000 0.500 0.250
0.500 0.000 0.750
```

## Properties
* symmetry: I-4m2, No. 119
* energy relative to the lowest polymorph listed for this composition: 46.0 kJ/mol of formula units
* density: 12.28 g cm⁻³
* formation energy from the elements: 0.1313 eV per atom

---

Entry 4:
First-principles (GGA-PBE) data for crystalline MnTl2Te3 at its relaxed geometry, as listed in Alexandria via LeMat-Bulk.

```
MnTl2Te3
1.0
7.519 -3.783 0.000
7.519 3.783 0.000
-1.324 0.000 6.818
Mn Tl Te
2 4 6
direct
0.096 0.904 0.750
0.904 0.096 0.250
0.168 0.481 0.352
0.481 0.168 0.852
0.519 0.832 0.148
0.832 0.519 0.648
0.032 0.206 0.009
0.206 0.032 0.509
0.445 0.555 0.750
0.555 0.445 0.250
0.794 0.968 0.491
0.968 0.794 0.991
```

## Properties
* formation energy without anion corrections: -18 kJ per mole of atoms
* symmetry: C2/c, No. 15
* density: 7.25 g cm⁻³

---

Entry 5:
First-principles (GGA-PBE) data for crystalline GaSiH2 at its relaxed geometry, as listed in Alexandria via LeMat-Bulk.

```
GaSiH2
1.0
5.429 0.000 0.000
0.000 5.429 0.000
0.000 0.000 5.429
Ga Si H
4 4 8
direct
0.000 0.000 0.000
0.000 0.500 0.500
0.500 0.000 0.500
0.500 0.500 0.000
0.000 0.000 0.500
0.000 0.500 0.000
0.500 0.000 0.000
0.500 0.500 0.500
0.250 0.250 0.250
0.250 0.250 0.750
0.250 0.750 0.250
0.250 0.750 0.750
0.750 0.250 0.250
0.750 0.250 0.750
0.750 0.750 0.250
0.750 0.750 0.750
```

## Properties
* symmetry: Fm-3m, No. 225
* energy relative to the lowest polymorph listed for this composition: 230.1 kJ/mol of formula units
* density: 4.14 g cm⁻³

---

Entry 6:
First-principles (GGA-PBE) data for crystalline YTc2Pb at its relaxed geometry, as listed in Alexandria via LeMat-Bulk.

```
YTc2Pb
1.0
3.542 0.000 0.000
0.000 3.542 0.000
0.000 0.000 6.404
Y Tc Pb
1 2 1
direct
0.000 0.000 0.000
0.500 0.500 0.284
0.500 0.500 0.716
0.000 0.000 0.500
```

## Properties
* symmetry: P4/mmm, No. 123
* density: 10.17 g cm⁻³
* formation energy from the elements: 0.3908 eV per atom